PrYCu2Si2 PBE optimized geometry; volume = 118.21 Å³/cell; DFT total energy = -5.568 eV/atom; size of the total moment = 0.01 μB per cell; space group = P-3m1, No. 164
1.0
4.179 0.000 0.000
-2.090 3.619 0.000
0.000 0.000 7.815
Pr Y Cu Si
1 1 2 2
direct
0.000 0.000 0.000
0.000 0.000 0.500
0.333 0.667 0.736
0.667 0.333 0.264
0.333 0.667 0.263
0.667 0.333 0.737